[1]
Density functional theory data (GGA-PBE) for Dy4Ni13C4 after structural relaxation.

Its total energy is -6.56 eV per atom. The calculation puts the calculated formation energy at -0.35 eV/atom.

It has space group Cmmm (No. 65), with a = 11.7234 Å, b = 11.9846 Å, c = 3.8565 Å, α = 90.00°, β = 90.00° and γ = 90.00°. Symmetry generates all atoms from Dy at (0.0000, 0.1881, 0.0000), Dy at (0.1520, 0.5000, 0.0000), Ni at (0.0000, 0.0000, 0.5000), Ni at (0.1077, 0.3234, 0.5000), Ni at (0.1226, 0.0000, 0.0000), Ni at (0.1824, 0.1085, 0.5000), Ni at (0.2500, 0.2500, 0.0000), C at (0.0000, 0.4431, 0.5000) and C at (0.2500, 0.2500, 0.5000).



[2]
Density functional theory data (GGA-PBE) for DyNi6C after structural relaxation.

Its total energy is -6.17 eV per atom. The calculation puts the calculated formation energy at -0.10 eV/atom.

It has space group R-3m (No. 166, hexagonal axes), with a = 5.1613 Å, b = 5.1613 Å, c = 13.1727 Å, α = 90.00°, β = 90.00° and γ = 120.00°. Symmetry generates all atoms from Dy at (0.0000, 0.0000, 0.0000), Ni at (0.0181, 0.5090, 0.9099) and C at (0.0000, 0.0000, 0.5000).



[3]
Density functional theory data (GGA-PBE) for Dy4Ni2C after structural relaxation.

Its total energy is -5.61 eV per atom. The calculation puts the calculated formation energy at -0.01 eV/atom.

It has space group I4/mmm (No. 139), with a = 4.7499 Å, b = 4.7499 Å, c = 14.3430 Å, α = 90.00°, β = 90.00° and γ = 90.00°. Symmetry generates all atoms from Dy at (0.0000, 0.0000, 0.1918), Dy at (0.0000, 0.5000, 0.0000), Ni at (0.0000, 0.0000, 0.3719) and C at (0.0000, 0.0000, 0.5000).